No. 1
Entry from the Alexandria database: a geometry-optimized BaTb2S4 structure (GGA-PBEsol).

Cell lengths 4.0225, 12.1001, 14.4259 Å; angles 90.00, 90.00, 90.00 degrees
Atoms (fractional coordinates):
1 Ba 0.7500 0.7439 0.1613
2 Ba 0.7500 0.2439 0.3387
3 Ba 0.2500 0.2561 0.8387
4 Ba 0.2500 0.7561 0.6613
5 Tb 0.7500 0.0717 0.1072
6 Tb 0.7500 0.5717 0.3928
7 Tb 0.2500 0.9283 0.8928
8 Tb 0.2500 0.4283 0.6072
9 Tb 0.7500 0.0769 0.6025
10 Tb 0.7500 0.5769 0.8975
11 Tb 0.2500 0.9231 0.3975
12 Tb 0.2500 0.4231 0.1025
13 S 0.7500 0.2908 0.6664
14 S 0.7500 0.7908 0.8336
15 S 0.2500 0.7092 0.3336
16 S 0.2500 0.2092 0.1664
17 S 0.7500 0.3727 0.9781
18 S 0.7500 0.8727 0.5219
19 S 0.2500 0.6273 0.0219
20 S 0.2500 0.1273 0.4781
21 S 0.7500 0.4802 0.2177
22 S 0.7500 0.9802 0.2823
23 S 0.2500 0.5198 0.7823
24 S 0.2500 0.0198 0.7177
25 S 0.7500 0.0792 0.9210
26 S 0.7500 0.5792 0.5790
27 S 0.2500 0.9208 0.0790
28 S 0.2500 0.4208 0.4210

Summary:
The symmetry is Pnma. The calculation puts the total energy at -0.2357 hartree per atom. The uncorrected formation energy comes out at -2.17 eV/atom.

No. 2
Entry from the Alexandria database: a geometry-optimized LiSiSe2 structure (GGA-PBEsol).

Cell lengths 2.7910, 5.1616, 5.1616 Å; angles 90.00, 90.00, 90.00 degrees
Atoms (fractional coordinates):
1 Si 0.0000 0.5000 0.5000
2 Se 0.0000 0.0000 0.5000
3 Se 0.0000 0.5000 0.0000
4 Li 0.0000 0.0000 0.0000

Summary:
The symmetry is P4/mmm. The calculation puts the total energy at -0.1556 hartree per atom. The uncorrected formation energy comes out at -0.38 eV/atom.

No. 3
Entry from the Alexandria database: a geometry-optimized SiIr2Au structure (GGA-PBEsol).

Cell lengths 2.8114, 2.8114, 8.5881 Å; angles 80.58, 80.58, 60.00 degrees
Atoms (fractional coordinates):
1 Au 0.2434 0.2434 0.2698
2 Ir 0.0029 0.0029 0.9912
3 Ir 0.7576 0.7576 0.7271
4 Si 0.4960 0.4960 0.5119

Summary:
The symmetry is R3m. The calculation puts the total energy at -0.2685 hartree per atom. The uncorrected formation energy comes out at 0.02 eV/atom.

No. 4
Entry from the Alexandria database: a geometry-optimized Zr3TiCu2 structure (GGA-PBEsol).

Cell lengths 3.1203, 3.1203, 10.9042 Å; angles 90.00, 90.00, 90.00 degrees
Atoms (fractional coordinates):
1 Cu 0.0000 0.0000 0.0239
2 Cu 0.5000 0.5000 0.4907
3 Zr 0.0000 0.0000 0.6513
4 Zr 0.0000 0.0000 0.3298
5 Zr 0.5000 0.5000 0.8529
6 Ti 0.5000 0.5000 0.1514

Summary:
The symmetry is P4mm. The calculation puts the total energy at -0.2752 hartree per atom. The energy of formation comes out at -113 meV/atom.

No. 5
Entry from the Alexandria database: a geometry-optimized CeScSi structure (GGA-PBEsol).

Cell lengths 4.1677, 4.1677, 8.3231 Å; angles 104.50, 104.50, 90.00 degrees
Last column: magnetic moment on the atom in μB.
Atoms (fractional coordinates):
1 Ce 0.3202 0.3202 0.6405  0.72
2 Ce 0.6798 0.6798 0.3595  0.72
3 Sc 0.0000 0.5000 0.0000  0.12
4 Sc 0.5000 0.0000 0.0000  0.12
5 Si 0.1235 0.1235 0.2470  -0.02
6 Si 0.8765 0.8765 0.7530  -0.02

Summary:
The symmetry is I4/mmm. The calculation puts the total energy at -0.2510 hartree per atom. The uncorrected formation energy comes out at -0.51 eV/atom.

No. 6
Entry from the Alexandria database: a geometry-optimized Ba2LiCl2 structure (GGA-PBEsol).

Cell lengths 5.0196, 5.0196, 8.6534 Å; angles 106.86, 106.86, 90.00 degrees
Atoms (fractional coordinates):
1 Li 0.0000 0.0000 0.0000
2 Ba 0.3635 0.3635 0.7270
3 Ba 0.6365 0.6365 0.2730
4 Cl 0.2500 0.7500 0.5000
5 Cl 0.7500 0.2500 0.5000

Summary:
The symmetry is I4/mmm. The calculation puts the total energy at -0.1266 hartree per atom. The uncorrected formation energy comes out at -1.39 eV/atom.

No. 7
Entry from the Alexandria database: a geometry-optimized SrAgOsRh2 structure (GGA-PBEsol).

Cell lengths 4.7948, 4.8427, 4.8427 Å; angles 90.00, 90.00, 90.00 degrees
Last column: magnetic moment on the atom in μB.
Atoms (fractional coordinates):
1 Rh 0.0000 0.0000 0.5000  0.57
2 Rh 0.0000 0.5000 0.0000  0.57
3 Os 0.5000 0.0000 0.0000  1.56
4 Ag 0.0000 0.0000 0.0000  0.10
5 Sr 0.5000 0.5000 0.5000  -0.01

Summary:
The symmetry is P4/mmm. The calculation puts the total energy at -0.1891 hartree per atom. The energy of formation comes out at 1584 meV/atom.

No. 8
Entry from the Alexandria database: a geometry-optimized Sr4MoRu structure (GGA-PBEsol).

Cell lengths 6.3416, 6.3416, 6.3416 Å; angles 60.00, 60.00, 60.00 degrees
Last column: magnetic moment on the atom in μB.
Atoms (fractional coordinates):
1 Mo 0.7500 0.7500 0.7500  3.17
2 Ru 0.0000 0.0000 0.0000  0.93
3 Sr 0.3744 0.3744 0.3744  -0.03
4 Sr 0.3744 0.3744 0.8769  -0.03
5 Sr 0.8769 0.3744 0.3744  -0.03
6 Sr 0.3744 0.8769 0.3744  -0.03

Summary:
The symmetry is F-43m. The calculation puts the total energy at -0.1171 hartree per atom. The energy of formation comes out at 1697 meV/atom.

No. 9
Entry from the Alexandria database: a geometry-optimized InTcPt2 structure (GGA-PBEsol).

Cell lengths 2.7740, 4.5581, 4.9533 Å; angles 90.00, 90.00, 90.00 degrees
Atoms (fractional coordinates):
1 In 0.5000 0.5000 0.2046
2 Pt 0.0000 0.0000 0.0367
3 Pt 0.0000 0.5000 0.6973
4 Tc 0.5000 0.0000 0.5615

Summary:
The symmetry is Pmm2. The calculation puts the total energy at -0.2632 hartree per atom. The energy of formation comes out at -117 meV/atom.

No. 10
Entry from the Alexandria database: a geometry-optimized NaHWO2 structure (GGA-PBEsol).

Cell lengths 3.6566, 3.8955, 3.8955 Å; angles 90.00, 90.00, 90.00 degrees
Atoms (fractional coordinates):
1 Na 0.5000 0.5000 0.5000
2 O 0.0000 0.0000 0.5000
3 O 0.0000 0.5000 0.0000
4 W 0.0000 0.0000 0.0000
5 H 0.5000 0.0000 0.0000

Summary:
The symmetry is P4/mmm. The calculation puts the total energy at -0.2606 hartree per atom.

No. 11
Entry from the Alexandria database: a geometry-optimized Li2ZrPd2 structure (GGA-PBEsol).

Cell lengths 3.4596, 3.4596, 7.1625 Å; angles 103.98, 103.98, 90.00 degrees
Atoms (fractional coordinates):
1 Pd 0.3997 0.3997 0.7994
2 Pd 0.6003 0.6003 0.2006
3 Zr 0.0000 0.0000 0.0000
4 Li 0.2500 0.7500 0.5000
5 Li 0.7500 0.2500 0.5000

Summary:
For the energy relative to the lowest polymorph listed for this composition, the calculation gives 0.0000 eV per atom. The symmetry is I4/mmm. The calculation puts the total energy at -0.1980 hartree per atom. The energy of formation comes out at -400 meV/atom.

No. 12
Entry from the Alexandria database: a geometry-optimized LuCo2Sn structure (GGA-PBEsol).

Cell lengths 4.4092, 4.4092, 4.4092 Å; angles 60.00, 60.00, 60.00 degrees
Last column: magnetic moment on the atom in μB.
Atoms (fractional coordinates):
1 Lu 0.5000 0.5000 0.5000  -0.11
2 Co 0.7500 0.7500 0.7500  0.60
3 Co 0.2500 0.2500 0.2500  0.60
4 Sn 0.0000 0.0000 0.0000  -0.01

Summary:
The symmetry is Fm-3m. The calculation puts the total energy at -0.2396 hartree per atom. The energy of formation comes out at -367 meV/atom.